Entry 1:
Density functional theory data (PBE) for an optimized crystal structure of Pr2MnGePt6.

Computed properties:
**DOS at the Fermi energy**: 9.764 states/eV per cell

CIF file:
```
data_Pr2MnGePt6
_chemical_formula_sum 'Pr4 Mn2 Ge2 Pt12'
_space_group_name_H-M_alt 'C 1 2/m 1'
_space_group_IT_number 12
_space_group_name_Hall '-C 2y'
_cell_length_a 12.009
_cell_length_b 5.499
_cell_length_c 8.539
_cell_angle_alpha 90.00
_cell_angle_beta 133.28
_cell_angle_gamma 90.00
loop_
_atom_site_label
_atom_site_type_symbol
_atom_site_fract_x
_atom_site_fract_y
_atom_site_fract_z
Pr1 Pr 0.242 0.000 0.204
Mn1 Mn 0.000 0.500 0.000
Ge1 Ge 0.000 0.000 0.500
Pt1 Pt 0.005 0.251 0.752
Pt2 Pt 0.248 0.500 0.394
```

Entry 2:
Density functional theory data (PBE) for an optimized crystal structure of PrMnGe2Rh.

Computed properties:
**DOS at the Fermi energy**: 5.731 states/eV per cell

CIF file:
```
data_PrMnGe2Rh
_chemical_formula_sum 'Pr2 Mn2 Ge4 Rh2'
_space_group_name_H-M_alt 'I -4 m 2'
_space_group_IT_number 119
_space_group_name_Hall 'I -4 -2'
_cell_length_a 4.155
_cell_length_b 4.155
_cell_length_c 10.734
_cell_angle_alpha 90.00
_cell_angle_beta 90.00
_cell_angle_gamma 90.00
loop_
_atom_site_label
_atom_site_type_symbol
_atom_site_fract_x
_atom_site_fract_y
_atom_site_fract_z
Pr1 Pr 0.000 0.000 0.000
Mn1 Mn 0.000 0.500 0.250
Ge1 Ge 0.000 0.000 0.379
Rh1 Rh 0.000 0.500 0.750
```

Entry 3:
Density functional theory data (PBE) for an optimized crystal structure of PrMnGe2Ru.

Computed properties:
**DOS at the Fermi energy**: 2.987 states/eV per cell

CIF file:
```
data_PrMnGe2Ru
_chemical_formula_sum 'Pr2 Mn2 Ge4 Ru2'
_space_group_name_H-M_alt 'I -4 m 2'
_space_group_IT_number 119
_space_group_name_Hall 'I -4 -2'
_cell_length_a 4.119
_cell_length_b 4.119
_cell_length_c 10.865
_cell_angle_alpha 90.00
_cell_angle_beta 90.00
_cell_angle_gamma 90.00
loop_
_atom_site_label
_atom_site_type_symbol
_atom_site_fract_x
_atom_site_fract_y
_atom_site_fract_z
Pr1 Pr 0.000 0.000 0.000
Mn1 Mn 0.000 0.500 0.250
Ge1 Ge 0.000 0.000 0.377
Ru1 Ru 0.000 0.500 0.750
```

Entry 4:
Density functional theory data (PBE) for an optimized crystal structure of PrScMnGe2.

Computed properties:
**DOS at the Fermi energy**: 8.472 states/eV per cell

CIF file:
```
data_PrScMnGe2
_chemical_formula_sum 'Pr2 Sc2 Mn2 Ge4'
_space_group_name_H-M_alt 'I -4 m 2'
_space_group_IT_number 119
_space_group_name_Hall 'I -4 -2'
_cell_length_a 4.234
_cell_length_b 4.234
_cell_length_c 11.609
_cell_angle_alpha 90.00
_cell_angle_beta 90.00
_cell_angle_gamma 90.00
loop_
_atom_site_label
_atom_site_type_symbol
_atom_site_fract_x
_atom_site_fract_y
_atom_site_fract_z
Pr1 Pr 0.000 0.000 0.000
Sc1 Sc 0.000 0.500 0.750
Mn1 Mn 0.000 0.500 0.250
Ge1 Ge 0.000 0.000 0.389
```

Entry 5:
Density functional theory data (PBE) for an optimized crystal structure of PrMnTcGe2.

Computed properties:
**DOS at the Fermi energy**: 8.375 states/eV per cell

CIF file:
```
data_PrMnTcGe2
_chemical_formula_sum 'Pr2 Mn2 Tc2 Ge4'
_space_group_name_H-M_alt 'I -4 m 2'
_space_group_IT_number 119
_space_group_name_Hall 'I -4 -2'
_cell_length_a 4.118
_cell_length_b 4.118
_cell_length_c 11.034
_cell_angle_alpha 90.00
_cell_angle_beta 90.00
_cell_angle_gamma 90.00
loop_
_atom_site_label
_atom_site_type_symbol
_atom_site_fract_x
_atom_site_fract_y
_atom_site_fract_z
Pr1 Pr 0.000 0.000 0.000
Mn1 Mn 0.000 0.500 0.750
Tc1 Tc 0.000 0.500 0.250
Ge1 Ge 0.000 0.000 0.378
```

Entry 6:
Density functional theory data (PBE) for an optimized crystal structure of MnGePt3.

Computed properties:
**Energy above the lowest structure with this stoichiometry**: 0.000 eV/atom
**DOS at the Fermi energy**: 4.115 states/eV per cell

CIF file:
```
data_MnGePt3
_chemical_formula_sum 'Mn2 Ge2 Pt6'
_space_group_name_H-M_alt 'P -1'
_space_group_IT_number 2
_space_group_name_Hall '-P 1'
_cell_length_a 4.662
_cell_length_b 4.670
_cell_length_c 7.625
_cell_angle_alpha 81.90
_cell_angle_beta 75.62
_cell_angle_gamma 74.70
loop_
_atom_site_label
_atom_site_type_symbol
_atom_site_fract_x
_atom_site_fract_y
_atom_site_fract_z
Mn1 Mn 0.114 0.291 0.189
Ge1 Ge 0.389 0.225 0.765
Pt1 Pt 0.041 0.764 0.385
Pt2 Pt 0.289 0.789 0.001
Pt3 Pt 0.454 0.732 0.621
```

Entry 7:
Density functional theory data (PBE) for an optimized crystal structure of Mn2GePt8.

Computed properties:
**DOS at the Fermi energy**: 22.835 states/eV per cell

CIF file:
```
data_Mn2GePt8
_chemical_formula_sum 'Mn4 Ge2 Pt16'
_space_group_name_H-M_alt 'I m m m'
_space_group_IT_number 71
_space_group_name_Hall '-I 2 2'
_cell_length_a 4.209
_cell_length_b 7.381
_cell_length_c 11.088
_cell_angle_alpha 90.00
_cell_angle_beta 90.00
_cell_angle_gamma 90.00
loop_
_atom_site_label
_atom_site_type_symbol
_atom_site_fract_x
_atom_site_fract_y
_atom_site_fract_z
Mn1 Mn 0.000 0.000 0.199
Ge1 Ge 0.000 0.000 0.500
Pt1 Pt 0.000 0.180 0.000
Pt2 Pt 0.000 0.280 0.343
Pt3 Pt 0.000 0.500 0.135
```

Entry 8:
Density functional theory data (PBE) for an optimized crystal structure of MnGePt2.

Computed properties:
**DOS at the Fermi energy**: 23.386 states/eV per cell

CIF file:
```
data_MnGePt2
_chemical_formula_sum 'Mn4 Ge4 Pt8'
_space_group_name_H-M_alt 'I -4 2 d'
_space_group_IT_number 122
_space_group_name_Hall 'I -4 2bw'
_cell_length_a 5.362
_cell_length_b 5.362
_cell_length_c 11.518
_cell_angle_alpha 90.00
_cell_angle_beta 90.00
_cell_angle_gamma 90.00
loop_
_atom_site_label
_atom_site_type_symbol
_atom_site_fract_x
_atom_site_fract_y
_atom_site_fract_z
Mn1 Mn 0.000 0.000 0.000
Ge1 Ge 0.000 0.000 0.500
Pt1 Pt 0.231 0.250 0.125
```

Entry 9:
Density functional theory data (PBE) for an optimized crystal structure of Mn2GePt.

Computed properties:
**DOS at the Fermi energy**: 10.890 states/eV per cell

CIF file:
```
data_Mn2GePt
_chemical_formula_sum 'Mn8 Ge4 Pt4'
_space_group_name_H-M_alt 'C m c m'
_space_group_IT_number 63
_space_group_name_Hall '-C 2c 2'
_cell_length_a 5.425
_cell_length_b 9.400
_cell_length_c 4.470
_cell_angle_alpha 90.00
_cell_angle_beta 90.00
_cell_angle_gamma 90.00
loop_
_atom_site_label
_atom_site_type_symbol
_atom_site_fract_x
_atom_site_fract_y
_atom_site_fract_z
Mn1 Mn 0.249 0.083 0.250
Ge1 Ge 0.000 0.336 0.250
Pt1 Pt 0.000 0.167 0.750
```

Entry 10:
Density functional theory data (PBE) for an optimized crystal structure of MnGePt.

Computed properties:
**DOS at the Fermi energy**: 6.744 states/eV per cell

CIF file:
```
data_MnGePt
_chemical_formula_sum 'Mn6 Ge6 Pt6'
_space_group_name_H-M_alt 'P 1 21/m 1'
_space_group_IT_number 11
_space_group_name_Hall '-P 2yb'
_cell_length_a 6.576
_cell_length_b 3.715
_cell_length_c 11.398
_cell_angle_alpha 90.00
_cell_angle_beta 90.64
_cell_angle_gamma 90.00
loop_
_atom_site_label
_atom_site_type_symbol
_atom_site_fract_x
_atom_site_fract_y
_atom_site_fract_z
Mn1 Mn 0.032 0.250 0.214
Mn2 Mn 0.353 0.750 0.581
Mn3 Mn 0.462 0.750 0.889
Ge1 Ge 0.256 0.750 0.086
Ge2 Ge 0.259 0.250 0.426
Ge3 Ge 0.268 0.250 0.753
Pt1 Pt 0.014 0.250 0.597
Pt2 Pt 0.147 0.250 0.954
Pt3 Pt 0.372 0.750 0.291
```

Entry 11:
Density functional theory data (PBE) for an optimized crystal structure of MnGePt.

Computed properties:
**DOS at the Fermi energy**: 4.046 states/eV per cell

CIF file:
```
data_MnGePt
_chemical_formula_sum 'Mn2 Ge2 Pt2'
_space_group_name_H-M_alt 'I 4 m m'
_space_group_IT_number 107
_space_group_name_Hall 'I 4 -2'
_cell_length_a 3.464
_cell_length_b 3.464
_cell_length_c 7.851
_cell_angle_alpha 90.00
_cell_angle_beta 90.00
_cell_angle_gamma 90.00
loop_
_atom_site_label
_atom_site_type_symbol
_atom_site_fract_x
_atom_site_fract_y
_atom_site_fract_z
Mn1 Mn 0.000 0.000 0.000
Ge1 Ge 0.000 0.000 0.323
Pt1 Pt 0.000 0.000 0.655
```

In the order shown, the computed formation enthalpy at 0 K values come out to -69.3; -65.4; -55.9; -56.5; -45.2; -34.2; -21.1; 41.8; -17.0; -30.1; -16.8 kJ/mol of atoms.